A relaxed AcZn2I6 crystal. Source: Alexandria, functional PBE.

Cell and atoms, written as POSCAR:
```
AcZn2I6
1.0
7.638 -7.042 0.000
7.638 7.042 0.000
-3.251 0.000 8.583
Ac Zn I
2 4 12
direct
0.087 0.913 0.750
0.913 0.087 0.250
0.231 0.400 0.756
0.400 0.231 0.256
0.600 0.769 0.744
0.769 0.600 0.244
0.013 0.200 0.638
0.057 0.618 0.779
0.200 0.013 0.138
0.358 0.364 0.036
0.364 0.358 0.536
0.382 0.943 0.721
0.618 0.057 0.279
0.636 0.642 0.464
0.642 0.636 0.964
0.800 0.987 0.862
0.943 0.382 0.221
0.987 0.800 0.362
```

Values from the calculation:
energy: -46.41 eV for the cell shown
M_tot: 0.00 Bohr magnetons per cell
raw formation energy: -0.806 eV per atom